# SmSc2Si4, relaxed, DFT PBE
data_SmSc2Si4
_chemical_formula_sum 'Sm2 Sc4 Si8'
_cell_length_a 3.8059
_cell_length_b 4.0826
_cell_length_c 16.9828
_cell_angle_alpha 90.00
_cell_angle_beta 90.00
_cell_angle_gamma 90.00
_space_group_name_H-M_alt 'I m m m'
_space_group_IT_number 71
_space_group_name_Hall '-I 2 2'
loop_
_atom_site_label
_atom_site_fract_x
_atom_site_fract_y
_atom_site_fract_z
Sm1 0.0000 0.0000 0.0000
Sc1 0.0000 0.5000 0.3164
Si1 0.0000 0.0000 0.4303
Si2 0.0000 0.5000 0.1558
# - Energy: -6.3236 eV/atom
# - Energy relative to the elements, uncorrected: -0.742 eV per atom
# - Spin magnetization: 0.000 μB/atom

# PrNb2V, relaxed, DFT PBE
data_PrNb2V
_chemical_formula_sum 'Pr3 Nb6 V3'
_cell_length_a 3.1149
_cell_length_b 3.1149
_cell_length_c 29.8317
_cell_angle_alpha 90.00
_cell_angle_beta 90.00
_cell_angle_gamma 120.00
_space_group_name_H-M_alt 'R -3 m'
_space_group_IT_number 166
_space_group_name_Hall '-R 3 2"'
loop_
_atom_site_label
_atom_site_fract_x
_atom_site_fract_y
_atom_site_fract_z
Pr1 0.0000 0.0000 0.0000
Nb1 0.0000 0.0000 0.1015
V1 0.0000 0.0000 0.5000
# - Energy: -7.9399 eV/atom
# - ΔE_f: 0.570 eV per atom
# - Spin magnetization: 0.000 μB/atom

# CaReW2, relaxed, DFT PBE
data_CaReW2
_chemical_formula_sum 'Ca1 Re1 W2'
_cell_length_a 3.0376
_cell_length_b 3.0376
_cell_length_c 8.3770
_cell_angle_alpha 90.00
_cell_angle_beta 90.00
_cell_angle_gamma 90.00
_space_group_name_H-M_alt 'P 4/m m m'
_space_group_IT_number 123
_space_group_name_Hall '-P 4 2'
loop_
_atom_site_label
_atom_site_fract_x
_atom_site_fract_y
_atom_site_fract_z
Ca1 0.0000 0.0000 0.0000
Re1 0.0000 0.0000 0.5000
W1 0.5000 0.5000 0.3075
# - Energy: -9.4439 eV/atom
# - ΔE_f: 0.645 eV per atom
# - Energy above the most stable polymorph in this dataset: 139 meV per atom
# - Spin magnetization: 0.000 μB/atom

# BaSeCl, relaxed, DFT PBE
data_BaSeCl
_chemical_formula_sum 'Ba4 Se4 Cl4'
_cell_length_a 7.6244
_cell_length_b 7.6244
_cell_length_c 7.6244
_cell_angle_alpha 90.00
_cell_angle_beta 90.00
_cell_angle_gamma 90.00
_space_group_name_H-M_alt 'F -4 3 m'
_space_group_IT_number 216
_space_group_name_Hall 'F -4 2 3'
loop_
_atom_site_label
_atom_site_fract_x
_atom_site_fract_y
_atom_site_fract_z
Ba1 0.0000 0.0000 0.0000
Se1 0.2500 0.2500 0.2500
Cl1 0.2500 0.2500 0.7500
# - Energy: -3.9180 eV/atom
# - Energy above the most stable polymorph in this dataset: 462 meV per atom
# - Energy relative to the elements, uncorrected: -1.500 eV per atom
# - Spin magnetization: 0.337 μB/atom